[1]
This record from the Alexandria database describes ScTcCl after structural relaxation. The functional is PBE-GGA.

a b c (Å): 4.2626 4.2626 3.1606
angles (deg): 90.00 90.00 120.00
With the nearest neighbours (Å) after each atom.
Positions (direct):
Sc  0.0000  0.0000  0.0000  6 Tc 2.92, 6 Cl 2.92, 2 Sc 3.16
Tc  0.6667  0.3333  0.5000  3 Cl 2.46
Cl  0.3333  0.6667  0.5000  3 Tc 2.46

Calculated values
ΔE_f (raw) = -0.005 eV/atom
SG = No. 187
V = 49.73 Å³ per cell
total magnetic moment = 0.000 Bohr magnetons per cell
crystal system = hexagonal

---

[2]
This record from the Alexandria database describes Sc2TcCl after structural relaxation. The functional is PBE-GGA.

a b c (Å): 6.0544 6.0544 6.0544
angles (deg): 112.38 112.38 103.80
With the nearest neighbours (Å) after each atom.
Positions (direct):
Sc  0.1188  0.6250  0.9938  2 Tc 2.53, 2 Cl 2.59
Sc  0.3750  0.3688  0.4938  2 Tc 2.53, 2 Cl 2.59
Sc  0.6312  0.1250  0.0062  2 Tc 2.53, 2 Cl 2.59
Sc  0.8750  0.8812  0.5062  2 Tc 2.53, 2 Cl 2.59
Tc  0.0000  0.0000  0.0000  4 Sc 2.53
Tc  0.7500  0.2500  0.5000  4 Sc 2.53
Cl  0.2500  0.7500  0.5000  4 Sc 2.59
Cl  0.5000  0.5000  0.0000  4 Sc 2.59

Calculated values
ΔE_f (raw) = -0.076 eV/atom
SG = No. 122
V = 169.60 Å³ per cell
total magnetic moment = 0.000 Bohr magnetons per cell
crystal system = tetragonal

---

Distance to the lowest polymorph of the same formula for every record listed, in sequence, given in eV/f.u.: 0.865, 2.917.
D(E_F) for every record listed, in sequence, given in states/eV per atom: 1.37, 0.05.